# 1
A PBEsol-optimized structure of Ta2TcPt. Source: Alexandria via LeMat-Bulk, functional meta-GGA SCAN.

Cell and atoms, written as extended XYZ:
```
4
Lattice="-2.778 -0.269 -0.250 -1.450 -1.423 1.931 -2.631 7.422 5.530" Properties=species:S:1:pos:R:3 pbc="T T T"
Tc -3.418 2.791 3.559
Ta -5.133 4.228 5.365
Ta -4.244 -1.589 1.745
Pt -1.721 1.472 1.827
```

Calculated values
- Size of the total moment: 0.0 μB/f.u.
- Calculated density: 16.86 g/cm3
- Symmetry: R3m, No. 160
- Formation energy: -0.0117 eV/atom

***

# 2
A PBEsol-optimized structure of TaTc3Pt. Source: Alexandria via LeMat-Bulk, functional meta-GGA SCAN.

Cell and atoms, written as extended XYZ:
```
5
Lattice="4.573 0.000 0.000 0.000 4.573 0.000 0.000 0.000 4.573" Properties=species:S:1:pos:R:3 pbc="T T T"
Tc 0.000 0.000 2.287
Tc 0.000 2.287 0.000
Tc 2.287 0.000 0.000
Ta 0.000 0.000 0.000
Pt 2.287 2.287 2.287
```

Calculated values
- Size of the total moment: 0.0 μB/f.u.
- Calculated density: 11.63 g/cm3
- Energy above the most stable polymorph in this dataset: 0.000 eV/atom
- Symmetry: Pm-3m, No. 221
- Formation energy: 1.9023 eV/atom

***

# 3
A PBEsol-optimized structure of TaTcPt2. Source: Alexandria via LeMat-Bulk, functional meta-GGA SCAN.

Cell and atoms, written as extended XYZ:
```
4
Lattice="2.727 0.000 0.000 0.000 4.890 -0.006 0.000 -1.869 4.519" Properties=species:S:1:pos:R:3 pbc="T T T"
Pt 0.000 2.445 -0.003
Pt 0.000 -0.934 2.260
Tc 1.363 1.511 2.257
Ta 1.363 0.000 0.000
```

Calculated values
- Size of the total moment: 0.0 μB/f.u.
- Calculated density: 18.45 g/cm3
- Energy above the most stable polymorph in this dataset: 0.135 eV/atom
- Symmetry: Cmmm, No. 65
- Formation energy: -0.5555 eV/atom

***

# 4
A PBEsol-optimized structure of Ta2TcPt. Source: Alexandria via LeMat-Bulk, functional meta-GGA SCAN.

Cell and atoms, written as extended XYZ:
```
4
Lattice="-1.816 1.311 1.665 0.318 -2.956 2.674 4.753 2.445 2.139" Properties=species:S:1:pos:R:3 pbc="T T T"
Ta -0.524 1.801 2.054
Ta 3.461 1.955 1.751
Pt 1.627 0.401 3.239
Tc -0.749 -0.822 2.169
```

Calculated values
- Size of the total moment: 0.0 μB/f.u.
- Calculated density: 17.04 g/cm3
- Symmetry: P2/m, No. 10
- Formation energy: -0.4508 eV/atom

***

# 5
A PBEsol-optimized structure of TaTcPt2. Source: Alexandria via LeMat-Bulk, functional meta-GGA SCAN.

Cell and atoms, written as extended XYZ:
```
4
Lattice="3.839 0.000 0.000 0.000 3.839 0.000 -1.919 -1.919 4.076" Properties=species:S:1:pos:R:3 pbc="T T T"
Pt 1.919 0.000 2.038
Pt 0.000 1.919 2.038
Ta 0.000 0.000 0.000
Tc 1.919 1.919 0.000
```

Calculated values
- Size of the total moment: 0.0 μB/f.u.
- Calculated density: 18.50 g/cm3
- Energy above the most stable polymorph in this dataset: 0.029 eV/atom
- Symmetry: I4/mmm, No. 139
- Formation energy: -0.6612 eV/atom

***

# 6
A PBEsol-optimized structure of TaTcPt2. Source: Alexandria via LeMat-Bulk, functional meta-GGA SCAN.

Cell and atoms, written as extended XYZ:
```
4
Lattice="3.835 0.000 0.000 0.000 3.835 0.000 0.000 0.000 4.076" Properties=species:S:1:pos:R:3 pbc="T T T"
Pt 1.918 0.000 0.000
Pt 0.000 1.918 0.000
Tc 0.000 0.000 2.038
Ta 1.918 1.918 2.038
```

Calculated values
- Size of the total moment: 0.0 μB/f.u.
- Calculated density: 18.53 g/cm3
- Energy above the most stable polymorph in this dataset: 0.000 eV/atom
- Symmetry: P4/mmm, No. 123
- Formation energy: -0.6904 eV/atom

***

# 7
A PBEsol-optimized structure of TaTc3Pt. Source: Alexandria via LeMat-Bulk, functional meta-GGA SCAN.

Cell and atoms, written as extended XYZ:
```
5
Lattice="-1.847 -3.140 -2.800 -0.415 -2.907 3.534 -4.186 1.674 0.885" Properties=species:S:1:pos:R:3 pbc="T T T"
Tc -2.093 0.837 0.442
Tc -0.208 -1.453 1.767
Tc -0.923 -1.570 -1.400
Ta -3.224 -2.186 0.809
Pt 0.000 0.000 0.000
```

Calculated values
- Size of the total moment: 0.0 μB/f.u.
- Calculated density: 11.47 g/cm3
- Energy above the most stable polymorph in this dataset: 0.041 eV/atom
- Symmetry: Pm-3m, No. 221
- Formation energy: 1.9432 eV/atom

***

# 8
A PBEsol-optimized structure of TaTePt2. Source: Alexandria via LeMat-Bulk, functional meta-GGA SCAN.

Cell and atoms, written as extended XYZ:
```
4
Lattice="3.462 0.000 0.000 1.731 2.998 0.000 1.731 0.999 7.643" Properties=species:S:1:pos:R:3 pbc="T T T"
Ta 3.462 1.999 3.822
Pt 1.731 0.999 2.158
Pt 5.193 2.998 5.485
Te 0.000 0.000 0.000
```

Calculated values
- Size of the total moment: 0.0 μB/f.u.
- Calculated density: 14.63 g/cm3
- Symmetry: R-3m, No. 166
- Total energy: -61.406 eV/atom

***

# 9
A PBEsol-optimized structure of TaTePt2. Source: Alexandria via LeMat-Bulk, functional meta-GGA SCAN.

Cell and atoms, written as extended XYZ:
```
4
Lattice="-1.871 2.007 0.681 -0.494 -2.016 4.586 3.741 2.916 1.685" Properties=species:S:1:pos:R:3 pbc="T T T"
Pt 1.871 1.458 0.842
Pt -0.247 -1.008 2.293
Ta 0.688 1.454 3.476
Te -0.936 1.004 0.340
```

Calculated values
- Size of the total moment: 0.0 μB/f.u.
- Calculated density: 16.19 g/cm3
- Symmetry: P4/mmm, No. 123
- Total energy: -61.087 eV/atom

***

# 10
A PBEsol-optimized structure of TaTePt2. Source: Alexandria via LeMat-Bulk, functional meta-GGA SCAN.

Cell and atoms, written as extended XYZ:
```
4
Lattice="2.857 0.000 0.005 0.000 4.606 0.000 -0.008 0.000 5.461" Properties=species:S:1:pos:R:3 pbc="T T T"
Ta 1.424 0.000 2.422
Te -0.005 2.303 4.184
Pt 0.001 0.000 0.015
Pt 2.855 2.303 1.579
```

Calculated values
- Size of the total moment: 0.0 μB/f.u.
- Calculated density: 16.14 g/cm3
- Symmetry: Pmm2, No. 25
- Total energy: -61.238 eV/atom

***

# 11
A PBEsol-optimized structure of TaTePt2. Source: Alexandria via LeMat-Bulk, functional meta-GGA SCAN.

Cell and atoms, written as extended XYZ:
```
4
Lattice="-2.303 -1.247 1.311 -0.293 -1.837 -2.262 5.139 -5.499 3.799" Properties=species:S:1:pos:R:3 pbc="T T T"
Pt 1.112 -1.190 0.822
Pt 4.028 -4.309 2.977
Ta -1.298 -1.542 -0.475
Te 1.272 -4.291 1.424
```

Calculated values
- Size of the total moment: 0.0 μB/f.u.
- Calculated density: 16.05 g/cm3
- Symmetry: P4/mmm, No. 123
- Total energy: -61.384 eV/atom

***

# 12
A PBEsol-optimized structure of TaTlPt2. Source: Alexandria via LeMat-Bulk, functional meta-GGA SCAN.

Cell and atoms, written as extended XYZ:
```
4
Lattice="3.296 0.000 0.000 -1.648 4.441 0.008 0.000 -1.161 4.894" Properties=species:S:1:pos:R:3 pbc="T T T"
Ta 1.648 0.000 0.000
Pt 1.648 1.447 3.880
Pt 0.000 1.833 1.022
Tl 0.000 -0.580 2.447
```

Calculated values
- Size of the total moment: 0.0 μB/f.u.
- Calculated density: 17.97 g/cm3
- Symmetry: C2/m, No. 12
- Formation energy: -0.1498 eV/atom

***

# 13
A PBEsol-optimized structure of TaTl2Pt. Source: Alexandria via LeMat-Bulk, functional meta-GGA SCAN.

Cell and atoms, written as extended XYZ:
```
4
Lattice="-2.165 2.885 -1.974 -3.427 -2.209 0.530 2.017 1.840 4.761" Properties=species:S:1:pos:R:3 pbc="T T T"
Tl -2.103 -0.015 2.285
Tl -1.472 2.532 1.033
Ta 0.000 0.000 0.000
Pt -2.796 0.338 -0.722
```

Calculated values
- Size of the total moment: 0.0 μB/f.u.
- Calculated density: 16.56 g/cm3
- Energy above the most stable polymorph in this dataset: 0.421 eV/atom
- Symmetry: I4/mmm, No. 139
- Formation energy: 0.5735 eV/atom

***

# 14
A PBEsol-optimized structure of TaTlPt2. Source: Alexandria via LeMat-Bulk, functional meta-GGA SCAN.

Cell and atoms, written as extended XYZ:
```
4
Lattice="-2.109 1.045 -1.797 0.296 -0.254 -2.935 -4.918 -7.963 -1.302" Properties=species:S:1:pos:R:3 pbc="T T T"
Pt -4.964 -5.220 -4.531
Pt -1.765 -1.951 -1.503
Ta -3.365 -3.585 -3.017
Tl 0.000 0.000 0.000
```

Calculated values
- Size of the total moment: 0.0 μB/f.u.
- Calculated density: 18.25 g/cm3
- Symmetry: R-3m, No. 166
- Formation energy: -0.1230 eV/atom

***

# 15
A PBEsol-optimized structure of TaTl2Pt. Source: Alexandria via LeMat-Bulk, functional meta-GGA SCAN.

Cell and atoms, written as extended XYZ:
```
4
Lattice="4.143 0.000 0.000 0.000 4.143 0.000 -2.072 -2.072 4.485" Properties=species:S:1:pos:R:3 pbc="T T T"
Tl 0.000 0.000 0.000
Tl 2.072 0.000 2.243
Pt 2.072 2.072 0.000
Ta 0.000 2.072 2.243
```

Calculated values
- Size of the total moment: 0.0 μB/f.u.
- Calculated density: 16.93 g/cm3
- Energy above the most stable polymorph in this dataset: 0.304 eV/atom
- Symmetry: I-4m2, No. 119
- Formation energy: 0.4560 eV/atom